DFT (PBE-GGA) results for a relaxed structure of Ba2LuReO6.

Structure (CIF):
```
data_Ba2LuReO6
_cell_length_a 5.8770
_cell_length_b 5.8770
_cell_length_c 5.8770
_cell_angle_alpha 120.07
_cell_angle_beta 120.07
_cell_angle_gamma 89.88
_space_group_name_H-M_alt 'P 1'
_space_group_IT_number 1
_space_group_name_Hall 'P 1'
loop_
_atom_site_label
_atom_site_type_symbol
_atom_site_fract_x
_atom_site_fract_y
_atom_site_fract_z
_atom_site_occupancy
Ba1 Ba 0.2500 0.7500 0.5000 1
Ba2 Ba 0.7500 0.2500 0.5000 1
Lu1 Lu 0.0000 0.0000 0.0000 1
Re1 Re 0.5000 0.5000 0.0000 1
O1 O 0.2544 0.2683 0.5227 1
O2 O 0.2619 0.2619 0.0000 1
O3 O 0.2683 0.7456 0.0139 1
O4 O 0.7317 0.2544 0.9861 1
O5 O 0.7381 0.7381 0.0000 1
O6 O 0.7456 0.7317 0.4773 1
```

Computed properties:
Size of the total moment in μB per formula unit: 2.000
E_tot in eV/f.u.: -77.10
Symmetry: I4/m

DFT (PBE-GGA) results for a relaxed structure of BaLuOs.

Structure (CIF):
```
data_BaLuOs
_cell_length_a 4.8815
_cell_length_b 4.8815
_cell_length_c 4.8815
_cell_angle_alpha 60.00
_cell_angle_beta 60.00
_cell_angle_gamma 60.00
_space_group_name_H-M_alt 'P 1'
_space_group_IT_number 1
_space_group_name_Hall 'P 1'
loop_
_atom_site_label
_atom_site_type_symbol
_atom_site_fract_x
_atom_site_fract_y
_atom_site_fract_z
_atom_site_occupancy
Ba1 Ba 0.0000 0.0000 0.0000 1
Lu1 Lu 0.7500 0.7500 0.7500 1
Os1 Os 0.2500 0.2500 0.2500 1
```

Computed properties:
Size of the total moment in μB per formula unit: 0.001
E_tot in eV/f.u.: -13.10
Excess energy over the best structure of this formula in the dataset in meV/atom: 1084
Symmetry: F-43m